CeSmPtRh | PBE-GGA | relaxed

Results
ΔE_f ... -0.8469 eV per atom
Volume ... 353.6 Å³/cell
Density of states at the Fermi level ... 31.597 states/eV per cell
Electronic total energy ... -6.858 eV per atom

```
data_CeSmPtRh
_space_group_name_H-M_alt 'F -4 3 m'
_space_group_IT_number 216
_space_group_name_Hall 'F -4 2 3'
_cell_length_a 7.071
_cell_length_b 7.071
_cell_length_c 7.071
_cell_angle_alpha 90.00
_cell_angle_beta 90.00
_cell_angle_gamma 90.00
loop_
_atom_site_label
_atom_site_type_symbol
_atom_site_fract_x
_atom_site_fract_y
_atom_site_fract_z
Ce1 Ce 0.000 0.000 0.000
Sm1 Sm 0.000 0.000 0.500
Pt1 Pt 0.250 0.250 0.250
Rh1 Rh 0.250 0.250 0.750
```

CePr8Er6 | PBE-GGA | relaxed

Results
ΔE_f ... 0.1328 eV per atom
Volume ... 507.8 Å³/cell
Density of states at the Fermi level ... 25.325 states/eV per cell
Electronic total energy ... -4.637 eV per atom

```
data_CePr8Er6
_space_group_name_H-M_alt 'P -3'
_space_group_IT_number 147
_space_group_name_Hall '-P 3'
_cell_length_a 9.9066
_cell_length_b 9.9066
_cell_length_c 5.9741
_cell_angle_alpha 90.00
_cell_angle_beta 90.00
_cell_angle_gamma 120.00
loop_
_atom_site_label
_atom_site_type_symbol
_atom_site_fract_x
_atom_site_fract_y
_atom_site_fract_z
Ce1 Ce 0.0000 0.0000 0.0000
Pr1 Pr 0.0507 0.2687 0.7302
Pr2 Pr 0.3333 0.6667 0.7231
Er1 Er 0.0932 0.4742 0.2430
```

Tb2NdTa | PBE-GGA | relaxed

Results
ΔE_f ... 0.6346 eV per atom
Volume ... 336.4 Å³/cell
Density of states at the Fermi level ... 18.159 states/eV per cell
Electronic total energy ... -5.836 eV per atom

```
data_Tb2NdTa
_space_group_name_H-M_alt 'R -3 m'
_space_group_IT_number 166
_space_group_name_Hall '-R 3 2"'
_cell_length_a 3.3006
_cell_length_b 3.3006
_cell_length_c 35.6618
_cell_angle_alpha 90.00
_cell_angle_beta 90.00
_cell_angle_gamma 120.00
loop_
_atom_site_label
_atom_site_type_symbol
_atom_site_fract_x
_atom_site_fract_y
_atom_site_fract_z
Tb1 Tb 0.0000 0.0000 0.0818
Nd1 Nd 0.0000 0.0000 0.5000
Ta1 Ta 0.0000 0.0000 0.0000
```

AlCd2C | PBE-GGA | relaxed

Results
ΔE_f ... 1.3201 eV per atom
Volume ... 282.4 Å³/cell
Density of states at the Fermi level ... 10.800 states/eV per cell
Electronic total energy ... -2.379 eV per atom

```
data_AlCd2C
_space_group_name_H-M_alt 'F m -3 m'
_space_group_IT_number 225
_space_group_name_Hall '-F 4 2 3'
_cell_length_a 6.561
_cell_length_b 6.561
_cell_length_c 6.561
_cell_angle_alpha 90.00
_cell_angle_beta 90.00
_cell_angle_gamma 90.00
loop_
_atom_site_label
_atom_site_type_symbol
_atom_site_fract_x
_atom_site_fract_y
_atom_site_fract_z
Al1 Al 0.000 0.000 0.000
Cd1 Cd 0.250 0.250 0.250
C1 C 0.000 0.000 0.500
```

BaAl2GaAu4 | PBE-GGA | relaxed

Results
ΔE_f ... -0.4165 eV per atom
Volume ... 519.2 Å³/cell
Density of states at the Fermi level ... 7.740 states/eV per cell
Electronic total energy ... -3.610 eV per atom

```
data_BaAl2GaAu4
_space_group_name_H-M_alt 'R -3 m'
_space_group_IT_number 166
_space_group_name_Hall '-R 3 2"'
_cell_length_a 4.4368
_cell_length_b 4.4368
_cell_length_c 30.4575
_cell_angle_alpha 90.00
_cell_angle_beta 90.00
_cell_angle_gamma 120.00
loop_
_atom_site_label
_atom_site_type_symbol
_atom_site_fract_x
_atom_site_fract_y
_atom_site_fract_z
Ba1 Ba 0.0000 0.0000 0.0000
Al1 Al 0.0000 0.0000 0.2385
Ga1 Ga 0.0000 0.0000 0.5000
Au1 Au 0.0000 0.0000 0.1332
Au2 Au 0.0000 0.0000 0.4080
```

Na3Sr2 | PBE-GGA | relaxed

Results
ΔE_f ... 0.0295 eV per atom
Volume ... 1763.2 Å³/cell
Density of states at the Fermi level ... 25.438 states/eV per cell
Electronic total energy ... -1.435 eV per atom

```
data_Na3Sr2
_space_group_name_H-M_alt 'F d d 2'
_space_group_IT_number 43
_space_group_name_Hall 'F 2 -2d'
_cell_length_a 12.811
_cell_length_b 18.676
_cell_length_c 7.370
_cell_angle_alpha 90.00
_cell_angle_beta 90.00
_cell_angle_gamma 90.00
loop_
_atom_site_label
_atom_site_type_symbol
_atom_site_fract_x
_atom_site_fract_y
_atom_site_fract_z
Na1 Na 0.000 0.000 0.000
Na2 Na 0.070 0.118 0.339
Sr1 Sr 0.075 0.198 0.831
```

DyGa5Co2Ni | PBE-GGA | relaxed

Results
ΔE_f ... -0.1613 eV per atom
Volume ... 147.0 Å³/cell
Density of states at the Fermi level ... 5.892 states/eV per cell
Electronic total energy ... -4.576 eV per atom

```
data_DyGa5Co2Ni
_space_group_name_H-M_alt 'P 4/m m m'
_space_group_IT_number 123
_space_group_name_Hall '-P 4 2'
_cell_length_a 4.574
_cell_length_b 4.574
_cell_length_c 7.028
_cell_angle_alpha 90.00
_cell_angle_beta 90.00
_cell_angle_gamma 90.00
loop_
_atom_site_label
_atom_site_type_symbol
_atom_site_fract_x
_atom_site_fract_y
_atom_site_fract_z
Dy1 Dy 0.000 0.000 0.000
Ga1 Ga 0.000 0.500 0.309
Ga2 Ga 0.500 0.500 0.000
Co1 Co 0.500 0.500 0.320
Ni1 Ni 0.000 0.000 0.500
```

Mg6HgAu3 | PBE-GGA | relaxed

Results
ΔE_f ... -0.4439 eV per atom
Volume ... 388.5 Å³/cell
Density of states at the Fermi level ... 6.124 states/eV per cell
Electronic total energy ... -2.414 eV per atom

```
data_Mg6HgAu3
_space_group_name_H-M_alt 'P 1 21/m 1'
_space_group_IT_number 11
_space_group_name_Hall '-P 2yb'
_cell_length_a 8.555
_cell_length_b 4.635
_cell_length_c 10.052
_cell_angle_alpha 90.00
_cell_angle_beta 102.96
_cell_angle_gamma 90.00
loop_
_atom_site_label
_atom_site_type_symbol
_atom_site_fract_x
_atom_site_fract_y
_atom_site_fract_z
Mg1 Mg 0.044 0.250 0.409
Mg2 Mg 0.134 0.750 0.186
Mg3 Mg 0.231 0.250 0.981
Mg4 Mg 0.314 0.750 0.783
Mg5 Mg 0.353 0.250 0.297
Mg6 Mg 0.416 0.250 0.598
Hg1 Hg 0.446 0.750 0.105
Au1 Au 0.026 0.750 0.887
Au2 Au 0.132 0.250 0.695
Au3 Au 0.278 0.750 0.467
```

Please write out number 6 again, unchanged.
Na3Sr2 | PBE-GGA | relaxed

Results
ΔE_f ... 0.0295 eV per atom
Volume ... 1763.2 Å³/cell
Density of states at the Fermi level ... 25.438 states/eV per cell
Electronic total energy ... -1.435 eV per atom

```
data_Na3Sr2
_space_group_name_H-M_alt 'F d d 2'
_space_group_IT_number 43
_space_group_name_Hall 'F 2 -2d'
_cell_length_a 12.811
_cell_length_b 18.676
_cell_length_c 7.370
_cell_angle_alpha 90.00
_cell_angle_beta 90.00
_cell_angle_gamma 90.00
loop_
_atom_site_label
_atom_site_type_symbol
_atom_site_fract_x
_atom_site_fract_y
_atom_site_fract_z
Na1 Na 0.000 0.000 0.000
Na2 Na 0.070 0.118 0.339
Sr1 Sr 0.075 0.198 0.831
```